Entry from Alexandria via LeMat-Bulk: Pd3PtS after structural relaxation (PBE).

Cell and atoms, written as POSCAR:
```
Pd3PtS
1.0
-2.3161 0.8692 3.6784
-3.7181 -1.2998 -2.0339
0.6797 -4.1479 1.4082
S Pd Pt
1 3 1
direct
0.0000 0.0000 0.0000 S
0.0000 0.5000 0.0000 Pd
0.0000 0.0000 0.5000 Pd
0.5000 0.0000 0.0000 Pd
0.5000 0.5000 0.5000 Pt
```

Values from the calculation:
Density = 10.42 g/cm3
Space group = Pm-3m (221)
Formation energy without anion corrections = 0.203 eV/atom
N(E_F) = 1.66 states/eV/atom